Tb2NdAg after structural relaxation. Source: the Alexandria database, functional PBE.

abc: 3.6364 3.6364 10.7019
angles: 80.24 80.24 60.02
Fractional positions:
Tb: 0.0723 0.0723 0.7825
Tb: 0.2611 0.2611 0.2172
Nd: 0.4998 0.4998 0.5004
Ag: 0.6668 0.6668 0.9999

* M_tot: 0.000 μB/atom
* energy above the lowest structure with this stoichiometry: 130 meV/atom
* space group: R3m, No. 160
* ΔH_f (0 K): 0.00 eV per atom


Sc2InSiPb after structural relaxation. Source: the Alexandria database, functional PBE.

abc: 5.3663 5.4936 5.3663
angles: 90.00 90.00 90.00
Fractional positions:
Pb: 0.0000 0.5000 0.0000
Sc: 0.0000 0.0000 0.5000
Sc: 0.5000 0.0000 0.0000
Si: 0.5000 0.5000 0.5000
In: 0.0000 0.0000 0.0000

* M_tot: 0.000 μB/atom
* ΔE_f (raw): 0.7771 eV/atom
* space group: P4/mmm, No. 123


Sm12HoTm2 after structural relaxation. Source: the Alexandria database, functional PBE.

abc: 6.7352 6.7352 24.9726
angles: 84.87 95.13 63.53
Fractional positions:
Sm: 0.6446 0.4219 0.8002
Sm: 0.0781 0.8554 0.8002
Sm: 0.7734 0.7266 0.8813
Sm: 0.3772 0.5634 0.9299
Sm: 0.0331 0.9998 0.3275
Sm: 0.1228 0.9366 0.0701
Sm: 0.6775 0.3538 0.5563
Sm: 0.5002 0.4669 0.3275
Sm: 0.2664 0.2336 0.8370
Sm: 0.7266 0.7734 0.1187
Sm: 0.1910 0.3090 0.5756
Sm: 0.8225 0.1462 0.4437
Sm: 0.9998 0.0331 0.6725
Sm: 0.3090 0.1910 0.4244
Sm: 0.2336 0.2664 0.1630
Sm: 0.8408 0.6592 0.4228
Sm: 0.6592 0.8408 0.5772
Sm: 0.8554 0.0781 0.1998
Sm: 0.1462 0.8225 0.5563
Sm: 0.4669 0.5002 0.6725
Sm: 0.9366 0.1228 0.9299
Sm: 0.4219 0.6446 0.1998
Sm: 0.3538 0.6775 0.4437
Sm: 0.5634 0.3772 0.0701
Ho: 0.4902 0.0098 0.9835
Ho: 0.0098 0.4902 0.0165
Tm: 0.5075 0.9925 0.2935
Tm: 0.9732 0.5268 0.2734
Tm: 0.9925 0.5075 0.7065
Tm: 0.5268 0.9732 0.7266

* M_tot: 0.000 μB/atom
* space group: C2/m, No. 12
* ΔH_f (0 K): 0.11 eV per atom


What did the third record say?
Sm12HoTm2 after structural relaxation. Source: the Alexandria database, functional PBE.

abc: 6.7352 6.7352 24.9726
angles: 84.87 95.13 63.53
Fractional positions:
Sm: 0.6446 0.4219 0.8002
Sm: 0.0781 0.8554 0.8002
Sm: 0.7734 0.7266 0.8813
Sm: 0.3772 0.5634 0.9299
Sm: 0.0331 0.9998 0.3275
Sm: 0.1228 0.9366 0.0701
Sm: 0.6775 0.3538 0.5563
Sm: 0.5002 0.4669 0.3275
Sm: 0.2664 0.2336 0.8370
Sm: 0.7266 0.7734 0.1187
Sm: 0.1910 0.3090 0.5756
Sm: 0.8225 0.1462 0.4437
Sm: 0.9998 0.0331 0.6725
Sm: 0.3090 0.1910 0.4244
Sm: 0.2336 0.2664 0.1630
Sm: 0.8408 0.6592 0.4228
Sm: 0.6592 0.8408 0.5772
Sm: 0.8554 0.0781 0.1998
Sm: 0.1462 0.8225 0.5563
Sm: 0.4669 0.5002 0.6725
Sm: 0.9366 0.1228 0.9299
Sm: 0.4219 0.6446 0.1998
Sm: 0.3538 0.6775 0.4437
Sm: 0.5634 0.3772 0.0701
Ho: 0.4902 0.0098 0.9835
Ho: 0.0098 0.4902 0.0165
Tm: 0.5075 0.9925 0.2935
Tm: 0.9732 0.5268 0.2734
Tm: 0.9925 0.5075 0.7065
Tm: 0.5268 0.9732 0.7266

* M_tot: 0.000 μB/atom
* space group: C2/m, No. 12
* ΔH_f (0 K): 0.11 eV per atom